Crystalline Mg2BeOs at its relaxed geometry. Source: Alexandria via LeMat-Bulk, functional PBE.

The space group is Imm2 (No. 44) and the conventional cell measures 3.193, 4.354 and 8.639 Å, with angles of 90.00, 90.00 and 90.00 degrees. The inequivalent atoms are Mg at (0.000, 0.000, 0.000), Mg at (0.000, 0.500, 0.215), Be at (0.000, 0.000, 0.455) and Os at (0.000, 0.500, 0.772).

The total magnetization comes out at 0.00 μB/f.u. The density of states at the Fermi level is 0.6259 states/eV/atom. Its total energy is -4.42 eV/atom. The formation energy comes out at 0.1128 eV per atom.